Here is a relaxed CeMnZnH6 crystal from the Alexandria database. Energies are from GGA-PBE.

abc: 4.458 4.458 4.370
angles: 90.00 90.00 60.00
Last column: magnetic moment on the atom in μB.
Sites, in units of the cell vectors:
H  0.483  0.483  0.768  -0.01
H  0.483  0.033  0.768  -0.01
H  0.483  0.484  0.232  -0.01
H  0.483  0.033  0.232  -0.01
H  0.033  0.484  0.768  -0.01
H  0.033  0.483  0.232  -0.01
Zn  0.667  0.667  0.500  -0.01
Mn  0.333  0.333  0.500  1.04
Ce  0.000  0.000  0.000  -0.73

Summary:
The calculation puts the total energy at -38.54 eV/cell. The value obtained for the theoretical density is 5.9 g/cm3. The calculation puts the calculated volume at 8.4 A^3/atom.